[1]
12
Lattice="6.4872 0.0000 0.0000 -3.2436 5.6181 0.0000 0.0000 0.0000 10.1900" Properties=species:S:1:pos:R:3 comment="Ac3CdAg2Sn6 GGA-PBE optimized geometry" space_group=P-3m1 dos_at_fermi_per_ev_cell=5.24 formation_enthalpy_0k_ev_per_atom=-0.2789 pbc="T T T"
Ac 0.0000 0.0000 0.0000
Ac 0.0000 3.7454 5.9637
Ac 3.2436 1.8727 4.2263
Cd 0.0000 0.0000 5.0950
Ag 0.0000 3.7454 0.3383
Ag 3.2436 1.8727 9.8517
Sn 0.0000 1.9559 2.7811
Sn -1.5498 4.6402 2.7811
Sn 1.6938 0.9779 7.4090
Sn 1.5498 4.6402 2.7811
Sn 4.7934 0.9779 7.4090
Sn 3.2436 3.6622 7.4090

***

[2]
7
Lattice="2.3557 -13.0841 0.0000 2.3557 13.0841 0.0000 0.0000 0.0000 3.5583" Properties=species:S:1:pos:R:3 comment="Ac2Tm2In3 GGA-PBE optimized geometry" space_group=Cmmm dos_at_fermi_per_ev_cell=6.66 formation_enthalpy_0k_ev_per_atom=-0.2635 pbc="T T T"
Ac 2.3557 11.0692 0.0000
Ac 2.3557 -11.0692 0.0000
Tm 2.3557 7.6531 0.0000
Tm 2.3557 -7.6531 0.0000
In 2.3557 4.2970 1.7791
In 2.3557 0.0000 1.7791
In 2.3557 -4.2970 1.7791

***

[3]
15
Lattice="3.7547 2.1678 7.3965 -3.7547 2.1678 7.3965 0.0000 -4.3356 7.3965" Properties=species:S:1:pos:R:3 comment="ZnCd8Hg6 GGA-PBE optimized geometry" space_group=R-3 dos_at_fermi_per_ev_cell=4.88 formation_enthalpy_0k_ev_per_atom=0.0631 pbc="T T T"
Zn 0.0000 0.0000 0.0000
Cd -2.5991 -0.8275 11.7379
Cd -0.5829 -2.6646 10.4516
Cd -2.0162 1.8372 10.4516
Cd 0.0000 0.0000 9.1116
Cd 0.0000 0.0000 13.0778
Cd 2.0162 -1.8372 11.7379
Cd 0.5829 2.6646 11.7379
Cd 2.5991 0.8275 10.4516
Hg -0.7452 -1.6927 6.3816
Hg -1.0934 1.4917 6.3816
Hg -1.8386 -0.2010 15.8079
Hg 1.8386 0.2010 6.3816
Hg 1.0934 -1.4917 15.8079
Hg 0.7452 1.6928 15.8079

***

[4]
9
Lattice="6.7940 -2.2829 0.0000 6.7940 2.2829 0.0000 -2.0173 0.0000 5.0897" Properties=species:S:1:pos:R:3 comment="Li4In2Ag3 GGA-PBE optimized geometry" space_group=C2/m dos_at_fermi_per_ev_cell=2.20 formation_enthalpy_0k_ev_per_atom=-0.2228 polymorph_energy_mev_per_atom=19 pbc="T T T"
Li 0.2002 0.0000 1.3272
Li 2.9275 0.0000 2.0059
Li 8.6433 0.0000 3.0838
Li 11.3706 0.0000 3.7625
In 0.5560 0.0000 4.1507
In 11.0148 0.0000 0.9390
Ag 3.4001 0.0000 4.7175
Ag 5.7854 0.0000 2.5448
Ag 8.1707 0.0000 0.3722

***

[5]
10
Lattice="4.1840 -5.7494 0.0000 4.1840 5.7494 0.0000 0.0000 0.0000 7.1974" Properties=species:S:1:pos:R:3 comment="Tb2PmYTm GGA-PBE optimized geometry" space_group=Cmcm dos_at_fermi_per_ev_cell=13.71 formation_enthalpy_0k_ev_per_atom=0.3769 pbc="T T T"
Tb 1.6086 0.0000 0.0000
Tb 1.6086 0.0000 3.5987
Tb 6.7593 0.0000 0.0000
Tb 6.7593 0.0000 3.5987
Pm 4.1840 3.2048 5.3981
Pm 4.1840 -3.2048 1.7994
Y 4.1840 3.0731 1.7994
Y 4.1840 -3.0731 5.3981
Tm 4.1840 0.1298 5.3981
Tm 4.1840 -0.1298 1.7994

***

[6]
5
Lattice="4.8354 0.0000 0.0000 0.0000 4.8354 0.0000 0.0000 0.0000 4.8354" Properties=species:S:1:pos:R:3 comment="Al3ReSb GGA-PBE optimized geometry" space_group=Pm-3m dos_at_fermi_per_ev_cell=6.14 polymorph_energy_mev_per_atom=0 pbc="T T T"
Al 0.0000 0.0000 2.4177
Al 0.0000 2.4177 0.0000
Al 2.4177 0.0000 0.0000
Re 0.0000 0.0000 0.0000
Sb 2.4177 2.4177 2.4177

***

[7]
4
Lattice="3.2060 0.0000 0.0000 0.0000 5.2629 0.0000 -0.0067 0.0000 5.9221" Properties=species:S:1:pos:R:3 comment="Y2MgTa GGA-PBE optimized geometry" space_group=Pm dos_at_fermi_per_ev_cell=4.20 formation_enthalpy_0k_ev_per_atom=0.2613 pbc="T T T"
Y 0.0000 0.0000 0.0000
Y -0.0003 2.6315 3.7770
Mg 1.6106 2.6315 1.0396
Ta 1.5993 0.0000 2.8214

***

[8]
4
Lattice="1.5660 0.9041 9.8023 -1.5660 0.9041 9.8023 0.0000 -1.8082 9.8023" Properties=species:S:1:pos:R:3 comment="CrCd3 GGA-PBE optimized geometry" space_group=R-3m dos_at_fermi_per_ev_cell=1.87 formation_enthalpy_0k_ev_per_atom=0.3102 pbc="T T T"
Cr 0.0000 0.0000 0.0000
Cd 0.0000 0.0000 7.5127
Cd 0.0000 0.0000 14.7035
Cd 0.0000 0.0000 21.8943

***

Taking the records one at a time from the top gives density values of 7.697 8.603 9.968 6.111 6.912 5.712 6.366 7.762 g/cm3.